# MgZn6Se6, relaxed, DFT GGA-PBE
# - V (Å³ per atom) = 21.1
# - raw formation energy (eV/atom) = -0.23
# - DOS at the Fermi energy (states/eV/atom) = 0.29
# - ΔE to the lowest computed polymorph (eV per formula unit) = 0.00
# - size of the total moment (μB/cell) = 0.0
data_MgZn6Se6
_chemical_formula_sum 'Mg1 Zn6 Se6'
_symmetry_space_group_name_H-M 'P 1'
_symmetry_Int_Tables_number 1
_cell_length_a 6.382
_cell_length_b 6.382
_cell_length_c 7.790
_cell_angle_alpha 90.00
_cell_angle_beta 90.00
_cell_angle_gamma 120.00
loop_
_symmetry_equiv_pos_as_xyz
'x,y,z'
loop_
_atom_site_label
_atom_site_type_symbol
_atom_site_fract_x
_atom_site_fract_y
_atom_site_fract_z
Zn1 Zn 0.500 0.500 0.741
Se1 Se 0.333 0.667 0.000
Zn2 Zn 0.500 0.000 0.259
Se2 Se 0.000 0.000 0.301
Zn3 Zn 0.500 0.500 0.259
Se3 Se 0.000 0.000 0.699
Zn4 Zn 0.500 0.000 0.741
Zn5 Zn 0.000 0.500 0.741
Se4 Se 0.667 0.333 0.500
Se5 Se 0.667 0.333 0.000
Mg1 Mg 0.000 0.000 0.000
Zn6 Zn 0.000 0.500 0.259
Se6 Se 0.333 0.667 0.500